(1)
LiLaRu2 | the Alexandria database | PBE-GGA | optimized geometry; offset from the most stable computed form = 0.228 eV/atom; V = 70.8 Å³ per cell; energy of formation from the pure elements = 0.241 eV/atom
1.0
4.0786 0.0000 0.0000
0.0000 4.0786 0.0000
0.0000 0.0000 4.2562
Li La Ru
1 1 2
direct
0.0000 0.0000 0.0000 Li
0.5000 0.5000 0.0000 La
0.0000 0.5000 0.5000 Ru
0.5000 0.0000 0.5000 Ru

(2)
Ti6FeCu | the Alexandria database | PBE-GGA | optimized geometry; V = 123.2 Å³ per cell; energy of formation from the pure elements = -0.097 eV/atom
1.0
-2.1125 2.1125 6.8991
2.1125 -2.1125 6.8991
2.1125 2.1125 -6.8991
Ti Fe Cu
6 1 1
direct
0.1115 0.6115 0.5000 Ti
0.2492 0.2492 0.0000 Ti
0.3885 0.8885 0.5000 Ti
0.6115 0.1115 0.5000 Ti
0.7508 0.7508 0.0000 Ti
0.8885 0.3885 0.5000 Ti
0.0000 0.0000 0.0000 Fe
0.5000 0.5000 0.0000 Cu

(3)
BaZn3Pt | the Alexandria database | PBE-GGA | optimized geometry; offset from the most stable computed form = 0.068 eV/atom; V = 442.1 Å³ per cell; energy of formation from the pure elements = -0.391 eV/atom
1.0
9.1972 0.0000 0.0000
0.0000 6.0676 0.0000
-2.4212 0.0000 7.9220
Ba Zn Pt
4 12 4
direct
0.2211 0.1104 0.1034 Ba
0.2211 0.3896 0.6034 Ba
0.7789 0.6104 0.3966 Ba
0.7789 0.8896 0.8966 Ba
0.0546 0.5917 0.1748 Zn
0.0546 0.9083 0.6748 Zn
0.3570 0.5910 0.2688 Zn
0.3570 0.9090 0.7688 Zn
0.4870 0.7152 0.0470 Zn
0.4870 0.7848 0.5470 Zn
0.5130 0.2152 0.4530 Zn
0.5130 0.2848 0.9530 Zn
0.6430 0.0910 0.2312 Zn
0.6430 0.4091 0.7312 Zn
0.9454 0.0917 0.3252 Zn
0.9454 0.4083 0.8252 Zn
0.1880 0.6483 0.9294 Pt
0.1880 0.8517 0.4294 Pt
0.8120 0.1483 0.5706 Pt
0.8120 0.3517 0.0706 Pt

How do the records compare in M_tot? In the order shown, they have 1.1 0.0 0.0 Bohr magnetons per cell.